## TcRuRh (GGA-PBE)

Data for crystalline TcRuRh at its relaxed geometry.

Results
The calculated volume comes out at 14.1 Å³/atom. The value obtained for the distance to the lowest polymorph of the same formula is 0.00 kcal/mol of atoms. As for the space group: P2_1/m, No. 11. The uncorrected energy comes out at -0.335 Ha/atom. For the formation energy from the elements, the calculation gives -114 meV per atom.

Cell lengths 4.745, 4.327, 4.759 Å; angles 90.00, 119.90, 90.00 degrees
Fractional positions:
Tc: 0.163 0.250 0.168
Tc: 0.837 0.750 0.832
Ru: 0.165 0.750 0.498
Ru: 0.835 0.250 0.502
Rh: 0.497 0.250 0.832
Rh: 0.503 0.750 0.168